No. 1
Computed, not measured: an optimized crystal structure of PaPRuPt at the PBE-GGA level of DFT.

extended XYZ file:
```
8
Lattice="3.921 0.000 0.000 0.000 3.921 0.000 0.000 0.000 9.259" Properties=species:S:1:pos:R:3 pbc="T T T"
Pa 0.980 0.980 2.110
Pa 2.941 2.941 7.149
P 0.980 0.980 5.904
P 2.941 2.941 3.356
Ru 0.980 2.941 4.630
Ru 2.941 0.980 4.630
Pt 0.980 0.980 8.418
Pt 2.941 2.941 0.842
```

Summary:
The value obtained for the total energy is -8.516 eV per atom. The total magnetization is 0.0 μB/f.u. Its formation energy is -0.961 eV/atom. As for the calculated volume: 142 Å³ per cell.

No. 2
Computed, not measured: an optimized crystal structure of Sm6Sb3As2Pb at the PBE-GGA level of DFT.

extended XYZ file:
```
12
Lattice="9.519 -2.185 0.000 9.519 2.185 0.000 -1.868 0.000 8.647" Properties=species:S:1:pos:R:3 pbc="T T T"
Sm -0.344 0.000 2.251
Sm 5.473 0.000 3.667
Sm 4.580 0.000 7.771
Sm 12.590 0.000 0.875
Sm 11.697 0.000 4.979
Sm 17.514 0.000 6.395
Sb 1.545 0.000 7.217
Sb 8.585 0.000 4.323
Sb 15.625 0.000 1.430
As 2.585 0.000 2.921
As 14.585 0.000 5.726
Pb 9.519 0.000 0.000
```

Summary:
The value obtained for the total energy is -5.615 eV per atom. The total magnetization is 0.0 μB/f.u. As for the calculated volume: 360 Å³ per cell. The formation energy from raw total energies is -13.69 eV per formula unit.

No. 3
Computed, not measured: an optimized crystal structure of SiHgAs2 at the PBE-GGA level of DFT.

extended XYZ file:
```
4
Lattice="1.653 -2.394 0.000 1.653 2.394 0.000 0.000 0.000 10.227" Properties=species:S:1:pos:R:3 pbc="T T T"
Si 0.000 0.000 0.000
Hg 1.653 0.000 7.461
As 0.000 0.000 4.577
As 1.653 0.000 2.155
```

Summary:
The value obtained for the total energy is -3.281 eV per atom. The total magnetization is 0.0 μB/f.u. As for the calculated volume: 81 Å³ per cell. The formation energy from raw total energies is 1.90 eV per formula unit.

No. 4
Computed, not measured: an optimized crystal structure of LiGePd2 at the PBE-GGA level of DFT.

extended XYZ file:
```
4
Lattice="4.110 0.000 0.000 0.000 4.110 0.000 0.000 0.000 3.365" Properties=species:S:1:pos:R:3 pbc="T T T"
Li 0.000 0.000 0.000
Ge 2.055 2.055 0.000
Pd 0.000 2.055 1.682
Pd 2.055 0.000 1.682
```

Summary:
The value obtained for the total energy is -4.781 eV per atom. The total magnetization is 0.0 μB/f.u. Its formation energy is -0.552 eV/atom. As for the calculated volume: 57 Å³ per cell.

No. 5
Computed, not measured: an optimized crystal structure of PmNb4S8 at the PBE-GGA level of DFT.

extended XYZ file:
```
13
Lattice="5.931 -3.475 0.000 5.931 3.475 0.000 -5.537 0.000 6.858" Properties=species:S:1:pos:R:3 pbc="T T T"
Pm 0.000 0.000 0.000
Nb 0.460 0.000 3.475
Nb 3.163 1.433 3.429
Nb 3.163 -1.433 3.429
Nb 5.866 0.000 3.383
S -3.759 0.000 4.704
S -0.794 1.715 4.978
S 4.122 0.000 1.661
S 7.119 1.715 1.879
S -0.794 -1.715 4.978
S 2.204 0.000 5.197
S 7.119 -1.715 1.879
S 10.085 0.000 2.154
```

Summary:
The value obtained for the total energy is -7.237 eV per atom. The total magnetization is 0.0 μB/f.u. As for the calculated volume: 283 Å³ per cell. The formation energy from raw total energies is -16.03 eV per formula unit.

No. 6
Computed, not measured: an optimized crystal structure of Tc2NiAg at the PBE-GGA level of DFT.

extended XYZ file:
```
4
Lattice="4.718 -1.351 0.000 4.718 1.351 0.000 -0.958 0.000 4.522" Properties=species:S:1:pos:R:3 pbc="T T T"
Tc 2.007 0.000 1.068
Tc 6.471 0.000 3.454
Ni 4.718 0.000 0.000
Ag -0.479 0.000 2.261
```

Summary:
The value obtained for the total energy is -6.976 eV per atom. The total magnetization is 0.0 μB/f.u. The excess energy over the best structure of this formula in the dataset is 179.4 meV/atom. Its formation energy is 0.365 eV/atom. As for the calculated volume: 58 Å³ per cell.

Number 6 is which compound? Tc2NiAg

What is the calculated volume in the first record? 142 Å³ per cell

The lowest calculated volume belongs to which entry? LiGePd2

Which value of calculated volume does entry 3 give? 81 Å³ per cell